1.
## Dy8CoCu2 (PBE)

Data for a relaxed Dy8CoCu2 crystal.

## Properties
DFT formation energy, eV/atom: -0.07
DOS at the Fermi energy, states/eV per cell: 8.5
ρ, g cm⁻³: 8.575
Polymorph energy (0 for the lowest one), meV per atom: 31

a = 5.704 Å, b = 9.109 Å, c = 9.109 Å
α = 135.45°, β = 100.90°, γ = 100.90°
Fractional positions:
1 Dy 0.955 0.210 0.796
2 Dy 0.342 0.826 0.597
3 Dy 0.013 0.246 0.246
4 Cu 0.454 0.256 0.750
5 Dy 0.955 0.796 0.210
6 Dy 0.567 0.180 0.409
7 Cu 0.454 0.750 0.256
8 Dy 0.897 0.761 0.761
9 Co 0.455 0.003 0.003
10 Dy 0.342 0.597 0.826
11 Dy 0.567 0.409 0.180

=====

2.
## Cs5Rb2F (PBE)

Data for a relaxed Cs5Rb2F crystal.

## Properties
VASP energy, eV per atom: -1.6020
DOS at the Fermi energy, states/eV per cell: 6.0
ρ, g cm⁻³: 1.914

a = 9.828 Å, b = 9.827 Å, c = 10.392 Å
α = 118.69°, β = 118.69°, γ = 89.15°
Fractional positions:
1 Cs 0.778 0.778 0.555
2 Cs 0.226 0.226 0.011
3 Cs 0.786 0.786 0.012
4 Rb 0.753 0.254 0.507
5 Cs 0.227 0.786 0.012
6 Rb 0.254 0.753 0.507
7 F 0.969 0.969 0.938
8 Cs 0.786 0.227 0.012

=====

3.
## Ag3PS4 (PBE)

Data for a relaxed Ag3PS4 crystal.

## Properties
VASP energy, eV per atom: -3.9849
ρ, g cm⁻³: 4.544

a = 6.605 Å, b = 6.905 Å, c = 7.737 Å
α = 90.00°, β = 90.00°, γ = 90.00°
Fractional positions:
1 Ag 0.425 0.190 0.235
2 P 0.404 0.688 0.000
3 P 0.904 0.312 0.500
4 S 0.283 0.410 0.000
5 S 0.783 0.590 0.500
6 S 0.304 0.833 0.220
7 S 0.804 0.167 0.720
8 Ag 0.393 0.641 0.500
9 Ag 0.893 0.359 0.000
10 S 0.216 0.309 0.500
11 Ag 0.425 0.190 0.765
12 S 0.804 0.167 0.280
13 S 0.304 0.833 0.780
14 Ag 0.925 0.810 0.735
15 Ag 0.925 0.810 0.265
16 S 0.716 0.691 0.000